A plane-wave DFT calculation with PBE was carried out for an optimized crystal structure of CeNd5Ga4.

Output
The total energy is -44.433 eV per formula unit. The formation energy is -255 meV/atom. As for the density of states at the Fermi level: 14.74 states/eV/cell.

Cell and atoms, written as POSCAR:
```
CeNd5Ga4
1.0
8.826 -2.197 0.000
8.826 2.197 0.000
-1.075 0.000 7.768
Ce Nd Ga
1 5 4
direct
0.000 0.000 0.000
0.000 0.000 0.500
0.300 0.300 0.700
0.362 0.362 0.250
0.638 0.638 0.750
0.700 0.700 0.300
0.201 0.201 0.016
0.465 0.465 0.735
0.535 0.535 0.265
0.799 0.799 0.984
```